A plane-wave DFT calculation with PBE was carried out for an optimized crystal structure of Nd5Sm3Dy4.

Lattice parameters (Å, degrees): 5.999 8.693 9.782 106.23 72.14 69.82
Sites, in units of the cell vectors:
1 Nd 0.623 0.953 0.800
2 Nd 0.500 0.500 0.500
3 Nd 0.212 0.462 0.114
4 Nd 0.788 0.538 0.886
5 Nd 0.377 0.047 0.200
6 Sm 0.520 0.688 0.272
7 Sm 0.000 0.500 0.500
8 Sm 0.480 0.312 0.728
9 Dy 0.859 0.222 0.059
10 Dy 0.164 0.049 0.622
11 Dy 0.836 0.951 0.378
12 Dy 0.141 0.778 0.941

Summary:
ΔE_f, eV per atom: 0.215
Polymorph energy (0 for the lowest one), meV/atom: 201
DFT total energy, eV/atom: -4.49
V, Å³/cell: 411.2